1.
A plane-wave DFT calculation with PBE was carried out for a relaxed structure of Nd2Y2Cd.

Cell: 3.6461 3.6461 12.0217 Å, 98.72 98.72 90.00°
Fractional coordinates of all 5 atoms:
Nd (0.8059, 0.8059, 0.6118)
Y (0.5852, 0.5852, 0.1704)
Nd (0.1941, 0.1941, 0.3882)
Cd (0.0000, 0.0000, 0.0000)
Y (0.4148, 0.4148, 0.8296)

Properties
- Space-group type: No. 139
- Calculated formation energy: -0.13 eV per atom
- Total energy: -24.009 eV/cell
- Calculated volume: 156.1 Å³ per cell

2.
A plane-wave DFT calculation with PBE was carried out for a relaxed structure of Nd7Y12Cd.

Cell: 8.7961 8.7961 8.7961 Å, 86.00 86.00 86.00°
Fractional coordinates of all 20 atoms:
Y (0.1401, 0.7606, 0.2564)
Y (0.8599, 0.2394, 0.7436)
Y (0.7606, 0.2564, 0.1401)
Y (0.8594, 0.4971, 0.3908)
Nd (0.8514, 0.6024, 0.9136)
Y (0.6092, 0.1406, 0.5029)
Cd (0.0000, 0.0000, 0.0000)
Y (0.4971, 0.3908, 0.8594)
Nd (0.0864, 0.1486, 0.3976)
Nd (0.6024, 0.9136, 0.8514)
Y (0.2394, 0.7436, 0.8599)
Y (0.2564, 0.1401, 0.7606)
Y (0.3908, 0.8594, 0.4971)
Nd (0.1486, 0.3976, 0.0864)
Nd (0.3976, 0.0864, 0.1486)
Y (0.1406, 0.5029, 0.6092)
Nd (0.9136, 0.8514, 0.6024)
Y (0.7436, 0.8599, 0.2394)
Nd (0.5000, 0.5000, 0.5000)
Y (0.5029, 0.6092, 0.1406)

Properties
- Space-group type: No. 148
- Calculated formation energy: 0.17 eV per atom
- Total energy: -108.463 eV/cell
- Calculated volume: 675.8 Å³ per cell

3.
A plane-wave DFT calculation with PBE was carried out for a relaxed structure of Nd5YCd3.

Cell: 7.0651 9.4569 9.4567 Å, 120.00 90.00 90.00°
Fractional coordinates of all 18 atoms:
Cd (0.7500, 0.0000, 0.6734)
Nd (0.7500, 0.0000, 0.3361)
Y (0.0000, 0.0000, 0.0000)
Cd (0.2500, 0.3266, 0.0000)
Nd (0.0000, 0.6667, 0.3334)
Nd (0.7500, 0.6639, 0.6639)
Nd (0.2500, 0.6639, 0.0000)
Nd (0.5000, 0.3333, 0.6666)
Nd (0.7500, 0.3361, 0.0000)
Cd (0.2500, 0.0000, 0.3266)
Cd (0.2500, 0.6734, 0.6734)
Cd (0.7500, 0.6734, 0.0000)
Y (0.5000, 0.0000, 0.0000)
Nd (0.5000, 0.6667, 0.3334)
Cd (0.7500, 0.3266, 0.3266)
Nd (0.2500, 0.3361, 0.3361)
Nd (0.2500, 0.0000, 0.6639)
Nd (0.0000, 0.3333, 0.6666)

Properties
- Space-group type: No. 193
- Calculated formation energy: -0.18 eV per atom
- Total energy: -69.346 eV/cell
- Calculated volume: 547.2 Å³ per cell

4.
A plane-wave DFT calculation with PBE was carried out for a relaxed structure of Nd8YCd2.

Cell: 5.7867 8.9786 8.9786 Å, 119.91 101.33 101.33°
Fractional coordinates of all 11 atoms:
Nd (0.7019, 0.4025, 0.4025)
Nd (0.2981, 0.5975, 0.5975)
Y (0.5000, 0.0000, 0.0000)
Cd (0.0000, 0.3057, 0.6943)
Nd (0.5000, 0.2206, 0.7794)
Nd (0.8888, 0.6826, 0.9065)
Cd (0.0000, 0.6943, 0.3057)
Nd (0.8888, 0.9065, 0.6826)
Nd (0.5000, 0.7794, 0.2206)
Nd (0.1112, 0.0935, 0.3174)
Nd (0.1112, 0.3174, 0.0935)

Properties
- Space-group type: No. 12
- Calculated formation energy: 0.01 eV per atom
- Total energy: -46.305 eV/cell
- Calculated volume: 371.9 Å³ per cell